# 1
VASP calculation (PBE) on a geometry-optimized Ba2Pu2Pt15 structure.

```
Ba2Pu2Pt15
1.0
4.7867 2.7636 4.5942
-4.7867 2.7636 4.5942
0.0000 -5.5272 4.5942
Ba Pu Pt
2 2 15
Cartesian
0.0000 0.0000 2.0171 Ba
0.0000 0.0000 11.7654 Ba
0.0000 0.0000 5.5127 Pu
0.0000 0.0000 8.2698 Pu
-2.3934 -1.3818 4.5942 Pt
0.0000 -2.7497 4.4513 Pt
-2.3813 1.3748 4.4513 Pt
-1.4543 -2.5190 6.8912 Pt
-2.9087 0.0000 6.8912 Pt
-2.3813 -1.3748 9.3312 Pt
-2.3934 1.3818 9.1883 Pt
1.4543 -2.5190 6.8912 Pt
0.0000 2.7636 4.5942 Pt
-1.4543 2.5190 6.8912 Pt
2.3813 1.3749 4.4513 Pt
2.9086 0.0000 6.8912 Pt
1.4543 2.5190 6.8912 Pt
2.3813 -1.3749 9.3312 Pt
0.0000 2.7497 9.3312 Pt
```

Energy relative to the elements = -0.51 eV per atom
Space group = R-3m, No. 166

***

# 2
VASP calculation (PBE) on a geometry-optimized BaPu3Pt3 structure.

```
BaPu3Pt3
1.0
7.7994 0.0000 0.0000
0.0000 7.7994 0.0000
0.0000 0.0000 7.7994
Ba Pu Pt
2 6 6
Cartesian
0.0000 0.0000 0.0000 Ba
3.8997 3.8997 3.8997 Ba
0.0000 1.9499 3.8997 Pu
0.0000 5.8496 3.8997 Pu
1.9499 3.8997 0.0000 Pu
3.8997 0.0000 1.9499 Pu
3.8997 0.0000 5.8496 Pu
5.8496 3.8997 0.0000 Pu
0.0000 3.8997 1.9499 Pt
0.0000 3.8997 5.8496 Pt
1.9499 0.0000 3.8997 Pt
3.8997 1.9499 0.0000 Pt
3.8997 5.8496 0.0000 Pt
5.8496 0.0000 3.8997 Pt
```

Energy relative to the elements = -0.25 eV per atom
Space group = Pm-3n, No. 223

***

# 3
VASP calculation (PBE) on a geometry-optimized BaPuPt10 structure.

```
BaPuPt10
1.0
4.4022 0.0000 0.0000
0.0000 5.5014 0.0000
0.0000 0.0000 9.5186
Ba Pu Pt
1 1 10
Cartesian
0.0000 0.0000 0.0000 Ba
0.0000 2.7507 4.7593 Pu
0.0000 0.0000 3.2417 Pt
0.0000 0.0000 6.2769 Pt
0.0000 2.7507 1.6933 Pt
0.0000 2.7507 7.8252 Pt
2.2011 0.0000 4.7593 Pt
2.2011 1.3981 2.4551 Pt
2.2011 1.3981 7.0635 Pt
2.2011 2.7507 0.0000 Pt
2.2011 4.1034 2.4551 Pt
2.2011 4.1034 7.0635 Pt
```

Energy relative to the elements = -0.51 eV per atom
Space group = Pmmm, No. 47

***

# 4
VASP calculation (PBE) on a geometry-optimized BaPu2Pt9 structure.

```
BaPu2Pt9
1.0
2.7591 1.5930 8.8436
-2.7591 1.5930 8.8436
0.0000 -3.1860 8.8436
Ba Pu Pt
1 2 9
Cartesian
0.0000 0.0000 0.0000 Ba
0.0000 0.0000 3.7887 Pu
0.0000 0.0000 22.7421 Pu
-1.3975 -0.8068 11.1181 Pt
0.0000 0.0000 8.8093 Pt
0.0000 -1.6136 15.4127 Pt
-1.3975 0.8068 15.4127 Pt
0.0000 0.0000 13.2654 Pt
1.3975 -0.8068 11.1181 Pt
0.0000 1.6136 11.1181 Pt
0.0000 0.0000 17.7215 Pt
1.3975 0.8068 15.4127 Pt
```

Energy relative to the elements = -0.67 eV per atom
Space group = R-3m, No. 166

***

# 5
VASP calculation (PBE) on a geometry-optimized BaPu2Pt structure.

```
BaPu2Pt
1.0
2.3769 1.3723 6.7753
-2.3769 1.3723 6.7753
0.0000 -2.7446 6.7753
Ba Pu Pt
1 2 1
Cartesian
0.0000 0.0000 0.0000 Ba
0.0000 0.0000 4.3319 Pu
0.0000 0.0000 15.9941 Pu
0.0000 0.0000 10.1630 Pt
```

Energy relative to the elements = -0.07 eV per atom
Space group = R-3m, No. 166

***

# 6
VASP calculation (PBE) on a geometry-optimized Ba2PuSb4Pt3 structure.

```
Ba2PuSb4Pt3
1.0
4.8013 0.0000 0.0000
0.0000 4.8013 0.0000
0.0000 0.0000 11.7335
Ba Pu Sb Pt
2 1 4 3
Cartesian
0.0000 2.4007 2.7633 Ba
2.4007 0.0000 8.9702 Ba
0.0000 0.0000 5.8667 Pu
0.0000 0.0000 0.0000 Sb
0.0000 2.4007 7.6944 Sb
2.4007 0.0000 4.0391 Sb
2.4007 2.4007 0.0000 Sb
0.0000 2.4007 10.4484 Pt
2.4007 0.0000 1.2851 Pt
2.4007 2.4007 5.8667 Pt
```

VASP energy = -60.22 eV/cell
Space group = P-4m2, No. 115

***

# 7
VASP calculation (PBE) on a geometry-optimized Ba2PuSb3Pt4 structure.

```
Ba2PuSb3Pt4
1.0
4.7579 0.0000 0.0000
0.0000 4.7579 0.0000
0.0000 0.0000 11.2396
Ba Pu Sb Pt
2 1 3 4
Cartesian
0.0000 2.3790 2.6176 Ba
2.3790 0.0000 8.6221 Ba
0.0000 0.0000 5.6198 Pu
0.0000 2.3790 9.9065 Sb
2.3790 0.0000 1.3332 Sb
2.3790 2.3790 5.6198 Sb
0.0000 0.0000 0.0000 Pt
0.0000 2.3790 7.2096 Pt
2.3790 0.0000 4.0300 Pt
2.3790 2.3790 0.0000 Pt
```

VASP energy = -62.61 eV/cell
Space group = P-4m2, No. 115

***

# 8
VASP calculation (PBE) on a geometry-optimized Ba2PuSn3Pt4 structure.

```
Ba2PuSn3Pt4
1.0
4.8036 0.0000 0.0000
0.0000 4.8036 0.0000
0.0000 0.0000 11.0530
Ba Pu Sn Pt
2 1 3 4
Cartesian
0.0000 2.4018 2.5995 Ba
2.4018 0.0000 8.4535 Ba
0.0000 0.0000 5.5265 Pu
0.0000 2.4018 9.7655 Sn
2.4018 0.0000 1.2875 Sn
2.4018 2.4018 5.5265 Sn
0.0000 0.0000 0.0000 Pt
0.0000 2.4018 7.0435 Pt
2.4018 0.0000 4.0096 Pt
2.4018 2.4018 0.0000 Pt
```

Energy relative to the elements = -0.77 eV per atom
Space group = P-4m2, No. 115

***

# 9
VASP calculation (PBE) on a geometry-optimized BaPuZnPt2 structure.

```
BaPuZnPt2
1.0
-2.2523 2.2523 6.0954
2.2523 -2.2523 6.0954
2.2523 2.2523 -6.0954
Ba Pu Zn Pt
1 1 1 2
Cartesian
0.0000 0.0000 0.0000 Ba
2.2523 0.0000 3.0477 Pu
0.0000 2.2523 3.0477 Zn
0.0000 0.0000 4.7262 Pt
0.0000 0.0000 7.4645 Pt
```

Energy relative to the elements = -0.64 eV per atom
Space group = I-4m2, No. 119

***

# 10
VASP calculation (PBE) on a geometry-optimized Ba2PuZn3Pt4 structure.

```
Ba2PuZn3Pt4
1.0
4.4761 0.0000 0.0000
0.0000 4.4761 0.0000
0.0000 0.0000 11.3894
Ba Pu Zn Pt
2 1 3 4
Cartesian
0.0000 2.2381 2.6165 Ba
2.2381 0.0000 8.7729 Ba
0.0000 0.0000 5.6947 Pu
0.0000 2.2381 10.0597 Zn
2.2381 0.0000 1.3297 Zn
2.2381 2.2381 5.6947 Zn
0.0000 0.0000 0.0000 Pt
0.0000 2.2381 7.3947 Pt
2.2381 0.0000 3.9947 Pt
2.2381 2.2381 0.0000 Pt
```

Energy relative to the elements = -0.61 eV per atom
Space group = P-4m2, No. 115

***

# 11
VASP calculation (PBE) on a geometry-optimized RbBa2Pt structure.

```
RbBa2Pt
1.0
2.3195 1.3392 12.4588
-2.3195 1.3392 12.4588
0.0000 -2.6784 12.4588
Rb Ba Pt
1 2 1
Cartesian
0.0000 0.0000 0.0000 Rb
0.0000 0.0000 4.5512 Ba
0.0000 0.0000 32.8253 Ba
0.0000 0.0000 18.6883 Pt
```

Energy relative to the elements = -0.43 eV per atom
Excess energy over the best structure of this formula in the dataset = 0.0323 eV per atom
Space group = R-3m, No. 166

***

# 12
VASP calculation (PBE) on a geometry-optimized Rb2BaPt structure.

```
Rb2BaPt
1.0
-6.1758 6.1758 3.0206
6.1758 -6.1758 3.0206
6.1758 6.1758 -3.0206
Rb Ba Pt
4 2 2
Cartesian
1.4214 3.0879 0.7552 Rb
-3.0879 4.7544 2.2655 Rb
-1.4214 9.2637 0.7552 Rb
3.0879 7.5972 2.2655 Rb
6.1758 0.0000 1.5103 Ba
0.0000 0.0000 3.0206 Ba
0.0000 0.0000 0.0000 Pt
0.0000 6.1758 1.5103 Pt
```

Energy relative to the elements = -0.02 eV per atom
Space group = I-42d, No. 122

***

# 13
VASP calculation (PBE) on a geometry-optimized RbBa2Pt structure.

```
RbBa2Pt
1.0
4.0235 0.0000 0.0000
0.0000 4.0235 0.0000
0.0000 0.0000 11.8789
Rb Ba Pt
1 2 1
Cartesian
0.0000 0.0000 0.0000 Rb
2.0118 2.0118 4.1434 Ba
2.0118 2.0118 7.7355 Ba
0.0000 0.0000 5.9394 Pt
```

Energy relative to the elements = -0.33 eV per atom
Excess energy over the best structure of this formula in the dataset = 0.1358 eV per atom
Space group = P4/mmm, No. 123

***

# 14
VASP calculation (PBE) on a geometry-optimized Rb2BaPt structure.

```
Rb2BaPt
1.0
0.0000 4.2729 4.2729
4.2729 0.0000 4.2729
4.2729 4.2729 0.0000
Rb Ba Pt
2 1 1
Cartesian
2.1364 2.1364 2.1364 Rb
6.4093 6.4093 6.4093 Rb
0.0000 0.0000 0.0000 Ba
4.2729 4.2729 4.2729 Pt
```

Energy relative to the elements = 0.33 eV per atom
Space group = Fm-3m, No. 225

***

# 15
VASP calculation (PBE) on a geometry-optimized Rb2Ba6Pt structure.

```
Rb2Ba6Pt
1.0
10.1768 0.0000 0.0000
-5.0884 8.8134 0.0000
0.0000 0.0000 7.5674
Rb Ba Pt
2 6 1
Cartesian
0.0000 5.8756 0.0000 Rb
5.0884 2.9378 0.0000 Rb
-1.2721 2.2034 5.5435 Ba
-3.8163 6.6100 2.0239 Ba
2.5442 0.0000 5.5435 Ba
1.2721 2.2034 2.0239 Ba
7.6325 0.0000 2.0239 Ba
3.8163 6.6100 5.5435 Ba
0.0000 0.0000 3.7837 Pt
```

Energy relative to the elements = -0.01 eV per atom
Space group = P-31m, No. 162

***

# 16
VASP calculation (PBE) on a geometry-optimized RbBa3Pt8 structure.

```
RbBa3Pt8
1.0
2.8500 1.6454 9.2728
-2.8500 1.6454 9.2728
0.0000 -3.2909 9.2728
Rb Ba Pt
1 3 8
Cartesian
0.0000 0.0000 0.0000 Rb
0.0000 0.0000 3.4102 Ba
0.0000 0.0000 13.9615 Ba
0.0000 0.0000 17.4987 Ba
0.0000 -1.6375 6.3783 Pt
-1.4181 0.8188 6.3783 Pt
-1.4166 -0.8179 11.0619 Pt
0.0000 0.0000 8.7187 Pt
1.4181 0.8188 6.3783 Pt
1.4166 -0.8179 11.0619 Pt
0.0000 1.6358 11.0619 Pt
0.0000 0.0000 22.6287 Pt
```

Energy relative to the elements = -0.61 eV per atom
Space group = R3m, No. 160

***

# 17
VASP calculation (PBE) on a geometry-optimized RbBa2Pt2 structure.

```
RbBa2Pt2
1.0
-2.9209 2.9209 6.3607
2.9209 -2.9209 6.3607
2.9209 2.9209 -6.3607
Rb Ba Pt
1 2 2
Cartesian
0.0000 0.0000 0.0000 Rb
0.0000 0.0000 4.1463 Ba
0.0000 0.0000 8.5752 Ba
2.9209 0.0000 3.1804 Pt
0.0000 2.9209 3.1804 Pt
```

Energy relative to the elements = -0.30 eV per atom
Excess energy over the best structure of this formula in the dataset = 0.1561 eV per atom
Space group = I4/mmm, No. 139

***

# 18
VASP calculation (PBE) on a geometry-optimized RbBa2Pt structure.

```
RbBa2Pt
1.0
2.3418 1.3520 11.6575
-2.3418 1.3520 11.6575
0.0000 -2.7040 11.6575
Rb Ba Pt
1 2 1
Cartesian
0.0000 0.0000 0.0000 Rb
0.0000 0.0000 7.5097 Ba
0.0000 0.0000 15.8581 Ba
0.0000 0.0000 29.1740 Pt
```

Energy relative to the elements = -0.46 eV per atom
Excess energy over the best structure of this formula in the dataset = 0.0020 eV per atom
Space group = R3m, No. 160

***

# 19
VASP calculation (PBE) on a geometry-optimized RbBa2Pt structure.

```
RbBa2Pt
1.0
4.0604 -2.3443 0.0000
4.0604 2.3443 0.0000
-0.0358 0.0000 11.5809
Rb Ba Pt
1 2 1
Cartesian
0.0000 0.0000 0.0000 Rb
2.6877 0.0000 4.1375 Ba
5.3973 0.0000 7.4434 Ba
-0.0179 0.0000 5.7904 Pt
```

Energy relative to the elements = -0.47 eV per atom
Excess energy over the best structure of this formula in the dataset = 0.0000 eV per atom
Space group = C2/m, No. 12

***

# 20
VASP calculation (PBE) on a geometry-optimized RbBaPt4 structure.

```
RbBaPt4
1.0
0.0000 4.0094 4.0094
4.0094 0.0000 4.0094
4.0094 4.0094 0.0000
Rb Ba Pt
1 1 4
Cartesian
0.0000 0.0000 0.0000 Rb
2.0047 2.0047 2.0047 Ba
5.0123 3.0064 3.0064 Pt
3.0064 5.0123 3.0064 Pt
3.0064 3.0064 5.0123 Pt
5.0123 5.0123 5.0123 Pt
```

Energy relative to the elements = -0.44 eV per atom
Space group = F-43m, No. 216

***

# 21
VASP calculation (PBE) on a geometry-optimized RbBa8Pt2 structure.

```
RbBa8Pt2
1.0
9.6005 -4.1510 0.0000
9.6005 4.1510 0.0000
-1.0458 0.0000 7.5546
Rb Ba Pt
1 8 2
Cartesian
0.0000 0.0000 0.0000 Rb
6.1225 2.0847 4.5772 Ba
3.1288 0.0000 6.9484 Ba
12.0326 2.0847 2.9774 Ba
7.8817 0.0000 1.3636 Ba
10.2734 0.0000 6.1909 Ba
6.1225 -2.0847 4.5772 Ba
15.0263 0.0000 0.6062 Ba
12.0326 -2.0847 2.9774 Ba
4.9078 0.0000 2.4734 Pt
13.2473 0.0000 5.0812 Pt
```

Energy relative to the elements = -0.28 eV per atom
Space group = C2/m, No. 12

***

# 22
VASP calculation (PBE) on a geometry-optimized RbBa2Pt structure.

```
RbBa2Pt
1.0
0.0000 4.2120 4.2120
4.2120 0.0000 4.2120
4.2120 4.2120 0.0000
Rb Ba Pt
1 2 1
Cartesian
0.0000 0.0000 0.0000 Rb
2.1060 2.1060 2.1060 Ba
6.3180 6.3180 6.3180 Ba
4.2120 4.2120 4.2120 Pt
```

Energy relative to the elements = 0.01 eV per atom
Excess energy over the best structure of this formula in the dataset = 0.4741 eV per atom
Space group = Fm-3m, No. 225

***

# 23
VASP calculation (PBE) on a geometry-optimized RbBaPt3 structure.

```
RbBaPt3
1.0
5.3348 0.0000 0.0000
0.0000 5.3348 0.0000
0.0000 0.0000 5.3348
Rb Ba Pt
1 1 3
Cartesian
0.0000 0.0000 0.0000 Rb
2.6674 2.6674 2.6674 Ba
0.0000 0.0000 2.6674 Pt
0.0000 2.6674 0.0000 Pt
2.6674 0.0000 0.0000 Pt
```

Energy relative to the elements = 1.12 eV per atom
Excess energy over the best structure of this formula in the dataset = 0.1315 eV per atom
Space group = Pm-3m, No. 221

***

# 24
VASP calculation (PBE) on a geometry-optimized RbBaPt3 structure.

```
RbBaPt3
1.0
5.6364 0.0000 0.0000
0.0000 5.6364 0.0000
0.0000 0.0000 5.6364
Rb Ba Pt
1 1 3
Cartesian
0.0000 0.0000 0.0000 Rb
2.8182 2.8182 2.8182 Ba
0.0000 2.8182 2.8182 Pt
2.8182 0.0000 2.8182 Pt
2.8182 2.8182 0.0000 Pt
```

Energy relative to the elements = 0.99 eV per atom
Excess energy over the best structure of this formula in the dataset = 0.0000 eV per atom
Space group = Pm-3m, No. 221